! RbBa2CoF8 (PBE+U, relaxed); values from VASP
&SYSTEM
  ibrav = 0, nat = 12, ntyp = 4
/
ATOMIC_SPECIES
Rb 85.47 Rb.upf
Ba 137.33 Ba.upf
Co 58.93 Co.upf
F 19.00 F.upf
ATOMIC_POSITIONS angstrom
Rb 0.000 0.000 0.000
Ba 1.838 2.184 2.811
Ba 1.838 6.234 2.811
Co 0.000 4.209 0.000
F -0.426 2.732 4.375
F -0.426 5.686 4.375
F 1.553 4.209 1.070
F 1.311 0.000 4.075
F 2.365 0.000 1.547
F 2.124 4.209 4.552
F 4.102 2.732 1.247
F 4.102 5.686 1.247
CELL_PARAMETERS angstrom
4.641 0.000 0.000
0.000 8.419 0.000
-0.965 0.000 5.622
! Calculated total energy in eV/atom: -5.08
! Space-group type: P2/m